Here is a relaxed Ag3AsRu crystal from Alexandria via LeMat-Bulk. Energies are from PBE.

Unit cell a=5.0322 b=5.0322 c=5.0322 alpha=90.00 beta=90.00 gamma=90.00
Last column: nearest neighbours and their distance in Å.
Positions (direct):
Ag (0.0000, 0.0000, 0.5000)  2 Ru 2.52
Ag (0.0000, 0.5000, 0.0000)  2 Ru 2.52
Ag (0.5000, 0.0000, 0.0000)  2 Ru 2.52
As (0.5000, 0.5000, 0.5000)  12 Ag 3.56
Ru (0.0000, 0.0000, 0.0000)  6 Ag 2.52

Calculated values
total energy	-3.0451	eV per atom
formation energy from the elements	140.0	kJ/mol of atoms
E above lowest polymorph	0.386	eV per atom